Compound: NiHg2BiPb
Source: Alexandria
Functional: GGA-PBE
Structure: optimized geometry

It has space group P4/mmm (No. 123), with a = 5.066 Å, b = 5.066 Å, c = 5.189 Å, α = 90.00°, β = 90.00° and γ = 90.00°. Symmetry generates all atoms from Ni at (0.000, 0.000, 0.000), Hg at (0.000, 0.500, 0.000), Bi at (0.000, 0.000, 0.500) and Pb at (0.500, 0.500, 0.500).

For the formation energy, the calculation gives 148.5 meV/atom. As for the energy above the most stable polymorph in this dataset: 0.000 eV/atom. The value obtained for the density of states at the Fermi level is 2.78 states/eV per cell.


Compound: RbNiHg2Bi
Source: Alexandria
Functional: GGA-PBE
Structure: optimized geometry

It has space group P4/mmm (No. 123), with a = 5.276 Å, b = 5.276 Å, c = 5.198 Å, α = 90.00°, β = 90.00° and γ = 90.00°. Symmetry generates all atoms from Rb at (0.000, 0.000, 0.000), Ni at (0.500, 0.500, 0.500), Hg at (0.000, 0.500, 0.500) and Bi at (0.500, 0.500, 0.000).

For the formation energy, the calculation gives -54.5 meV/atom. The value obtained for the density of states at the Fermi level is 3.09 states/eV per cell.


Look up the density of states at the Fermi level of the first one. 2.78 states/eV per cell